Entry 1:
YOs2Pt: relaxed, PBE.

Energy above the lowest structure with this stoichiometry: 134 meV per atom
Theoretical density: 15.8 g/cm³
Symmetry: Cm
Crystal system: monoclinic
E: -34.821 eV for the cell shown
Formation energy: 0.8 kcal/mol of atoms

Cell: 4.9281 4.9281 5.1320 Å, 99.91 99.91 34.73°
Last column: nearest neighbours and their distance in Å.
Fractional positions:
Y 0.0000 0.0000 0.0000  3 Pt 2.79-2.92, 7 Os 2.85-3.09, 2 Y 2.94
Os 0.4949 0.4949 0.4737  5 Os 2.64-2.94, 2 Y 2.85, 2 Pt 2.91
Os 0.7602 0.7602 0.3324  5 Os 2.64-2.94, 2 Pt 2.66
Pt 0.2424 0.2424 0.7567  4 Os 2.66-2.91, 3 Y 2.79-2.92, 2 Pt 2.94

=====

Entry 2:
YOsPt: relaxed, PBE.

Energy above the lowest structure with this stoichiometry: 497 meV per atom
Theoretical density: 11.9 g/cm³
Symmetry: F-43m
Crystal system: cubic
E: -23.227 eV for the cell shown
Formation energy: 3.9 kcal/mol of atoms

Cell: 4.5414 4.5414 4.5414 Å, 60.00 60.00 60.00°
Last column: nearest neighbours and their distance in Å.
Fractional positions:
Y 0.0000 0.0000 0.0000  4 Pt 2.78
Os 0.5000 0.5000 0.5000  4 Pt 2.78
Pt 0.7500 0.7500 0.7500  4 Os 2.78, 4 Y 2.78

=====

Entry 3:
Y2Os2Pt: relaxed, PBE.

Energy above the lowest structure with this stoichiometry: 874 meV per atom
Theoretical density: 12.4 g/cm³
Symmetry: P4/mbm
Crystal system: tetragonal
E: -77.487 eV for the cell shown
Formation energy: 12.4 kcal/mol of atoms

Cell: 8.0695 8.0695 3.1058 Å, 90.00 90.00 90.00°
Last column: nearest neighbours and their distance in Å.
Fractional positions:
Y 0.1430 0.3570 0.0000  6 Os 2.70-2.92
Y 0.3570 0.8570 0.0000  6 Os 2.70-2.92
Y 0.6430 0.1430 0.0000  6 Os 2.70-2.92
Y 0.8570 0.6430 0.0000  6 Os 2.70-2.92
Os 0.1632 0.6632 0.5000  6 Y 2.70-2.92
Os 0.3368 0.1632 0.5000  6 Y 2.70-2.92
Os 0.6632 0.8368 0.5000  6 Y 2.70-2.92
Os 0.8368 0.3368 0.5000  6 Y 2.70-2.92
Pt 0.0000 0.0000 0.0000  4 Y 3.10, 2 Pt 3.11, 8 Os 3.40
Pt 0.5000 0.5000 0.0000  4 Y 3.10, 2 Pt 3.11, 8 Os 3.40

=====

Entry 4:
YOsPt2: relaxed, PBE.

Energy above the lowest structure with this stoichiometry: 598 meV per atom
Theoretical density: 16.0 g/cm³
Symmetry: R3m
Crystal system: trigonal
E: -29.004 eV for the cell shown
Formation energy: 4.4 kcal/mol of atoms

Cell: 9.6728 9.6728 9.6728 Å, 17.26 17.26 17.26°
Last column: nearest neighbours and their distance in Å.
Fractional positions:
Y 0.0000 0.0000 0.0000  6 Y 2.90, 3 Pt 2.97, 3 Os 3.09
Os 0.2427 0.2427 0.2427  3 Pt 2.72, 6 Os 2.90
Pt 0.5012 0.5012 0.5012  3 Os 2.72, 9 Pt 2.88-2.90
Pt 0.7526 0.7526 0.7526  9 Pt 2.88-2.90, 3 Y 2.97

=====

Entry 5:
YOsPt2: relaxed, PBE.

Energy above the lowest structure with this stoichiometry: 102 meV per atom
Theoretical density: 16.0 g/cm³
Symmetry: Immm
Crystal system: orthorhombic
E: -30.989 eV for the cell shown
Formation energy: -7.0 kcal/mol of atoms

Cell: 5.0465 5.0465 5.0465 Å, 132.04 131.91 70.27°
Last column: nearest neighbours and their distance in Å.
Fractional positions:
Y 0.0000 0.0000 0.0000  4 Os 2.90, 8 Pt 2.91
Os 0.5000 0.5000 0.0000  4 Y 2.90, 8 Pt 2.91-2.92
Pt 0.2505 0.7505 0.5000  4 Pt 2.90, 4 Os 2.91-2.92, 4 Y 2.91
Pt 0.7495 0.2495 0.5000  4 Pt 2.90, 4 Os 2.91-2.92, 4 Y 2.91

=====

Entry 6:
YOs2Pt: relaxed, PBE.

Energy above the lowest structure with this stoichiometry: 140 meV per atom
Theoretical density: 16.0 g/cm³
Symmetry: Imm2
Crystal system: orthorhombic
E: -34.797 eV for the cell shown
Formation energy: 1.0 kcal/mol of atoms

Cell: 5.0124 5.0124 5.0124 Å, 134.13 128.68 71.26°
Last column: nearest neighbours and their distance in Å.
Fractional positions:
Y 0.0000 0.0000 0.0000  8 Os 2.89-2.93, 4 Pt 2.89-2.92
Os 0.2614 0.7614 0.5000  2 Os 2.61, 4 Y 2.89-2.91, 4 Pt 2.93
Os 0.4747 0.4747 0.0000  2 Os 2.61, 4 Pt 2.88-2.92, 4 Y 2.93
Pt 0.7344 0.2344 0.5000  8 Os 2.88-2.93, 4 Y 2.89-2.92

=====

Entry 7:
YOsPt2: relaxed, PBE.

Energy above the lowest structure with this stoichiometry: 0 meV per atom
Theoretical density: 16.1 g/cm³
Symmetry: P4/mmm
Crystal system: tetragonal
E: -31.397 eV for the cell shown
Formation energy: -9.3 kcal/mol of atoms

Cell: 4.0990 4.0990 4.1056 Å, 90.00 90.00 90.00°
Last column: nearest neighbours and their distance in Å.
Fractional positions:
Y 0.0000 0.0000 0.0000  4 Os 2.90, 8 Pt 2.90
Os 0.5000 0.5000 0.0000  4 Y 2.90, 8 Pt 2.90
Pt 0.0000 0.5000 0.5000  4 Pt 2.90, 4 Os 2.90, 4 Y 2.90
Pt 0.5000 0.0000 0.5000  4 Pt 2.90, 4 Os 2.90, 4 Y 2.90

=====

Entry 8:
YOsPt2: relaxed, PBE.

Energy above the lowest structure with this stoichiometry: 142 meV per atom
Theoretical density: 15.7 g/cm³
Symmetry: Cm
Crystal system: monoclinic
E: -30.829 eV for the cell shown
Formation energy: -6.1 kcal/mol of atoms

Cell: 4.9982 4.9982 5.0951 Å, 100.36 100.36 34.53°
Last column: nearest neighbours and their distance in Å.
Fractional positions:
Y 0.0000 0.0000 0.0000  7 Pt 2.86-3.02, 2 Y 2.97, 3 Os 3.03-3.09
Os 0.7540 0.7540 0.3161  5 Pt 2.68-2.79, 2 Os 2.97
Pt 0.2445 0.2445 0.7496  2 Os 2.68, 3 Y 2.86-2.93, 5 Pt 2.94-2.97
Pt 0.4913 0.4913 0.4811  3 Os 2.71-2.79, 4 Y 2.88-3.02, 5 Pt 2.94-2.97

=====

Entry 9:
YOs2Pt: relaxed, PBE.

Energy above the lowest structure with this stoichiometry: 185 meV per atom
Theoretical density: 15.8 g/cm³
Symmetry: C2/m
Crystal system: monoclinic
E: -34.617 eV for the cell shown
Formation energy: 2.0 kcal/mol of atoms

Cell: 4.9629 4.9629 5.0982 Å, 100.11 100.11 34.42°
Last column: nearest neighbours and their distance in Å.
Fractional positions:
Y 0.0000 0.0000 0.0000  2 Y 2.94, 4 Pt 2.94, 6 Os 2.95-3.02
Os 0.2396 0.2396 0.7052  2 Os 2.59, 3 Pt 2.75-2.85
Os 0.7604 0.7604 0.2948  2 Os 2.59, 3 Pt 2.75-2.85
Pt 0.5000 0.5000 0.5000  6 Os 2.75-2.85, 2 Pt 2.94, 4 Y 2.94

=====

Entry 10:
YOsPt: relaxed, PBE.

Energy above the lowest structure with this stoichiometry: 0 meV per atom
Theoretical density: 12.8 g/cm³
Symmetry: P-6m2
Crystal system: hexagonal
E: -24.719 eV for the cell shown
Formation energy: -7.6 kcal/mol of atoms

Cell: 4.3644 4.3644 3.7169 Å, 90.00 90.00 120.00°
Last column: nearest neighbours and their distance in Å.
Fractional positions:
Y 0.0000 0.0000 0.0000  6 Os 3.13, 6 Pt 3.13
Os 0.3333 0.6667 0.5000  3 Pt 2.52
Pt 0.6667 0.3333 0.5000  3 Os 2.52

=====

Entry 11:
Y3OsPt: relaxed, PBE.

Energy above the lowest structure with this stoichiometry: 0 meV per atom
Theoretical density: 7.4 g/cm³
Symmetry: Pm-3m
Crystal system: cubic
E: -36.555 eV for the cell shown
Formation energy: 0.5 kcal/mol of atoms

Cell: 5.2648 5.2648 5.2648 Å, 90.00 90.00 90.00°
Last column: nearest neighbours and their distance in Å.
Fractional positions:
Y 0.0000 0.0000 0.5000  2 Os 2.63
Y 0.0000 0.5000 0.0000  2 Os 2.63
Y 0.5000 0.0000 0.0000  2 Os 2.63
Os 0.0000 0.0000 0.0000  6 Y 2.63
Pt 0.5000 0.5000 0.5000  12 Y 3.72

=====

Entry 12:
YOsPt2: relaxed, PBE.

Energy above the lowest structure with this stoichiometry: 295 meV per atom
Theoretical density: 15.4 g/cm³
Symmetry: Fm-3m
Crystal system: cubic
E: -30.216 eV for the cell shown
Formation energy: -2.5 kcal/mol of atoms

Cell: 4.6764 4.6764 4.6764 Å, 60.00 60.00 60.00°
Last column: nearest neighbours and their distance in Å.
Fractional positions:
Y 0.0000 0.0000 0.0000  8 Pt 2.86
Os 0.5000 0.5000 0.5000  8 Pt 2.86
Pt 0.2500 0.2500 0.2500  4 Os 2.86, 4 Y 2.86
Pt 0.7500 0.7500 0.7500  4 Os 2.86, 4 Y 2.86

=====

Entry 13:
YOsPt2: relaxed, PBE.

Energy above the lowest structure with this stoichiometry: 224 meV per atom
Theoretical density: 15.7 g/cm³
Symmetry: C2/m
Crystal system: monoclinic
E: -30.500 eV for the cell shown
Formation energy: -4.2 kcal/mol of atoms

Cell: 5.0335 5.0335 4.9296 Å, 101.64 101.64 35.37°
Last column: nearest neighbours and their distance in Å.
Fractional positions:
Y 0.0000 0.0000 0.0000  6 Pt 2.89-3.01, 4 Os 2.90, 2 Y 3.06
Os 0.5000 0.5000 0.5000  6 Pt 2.77-2.95, 4 Y 2.90, 2 Os 3.06
Pt 0.2376 0.2376 0.7240  4 Pt 2.74-3.06, 3 Os 2.77-2.95, 3 Y 2.89-3.01
Pt 0.7624 0.7624 0.2760  4 Pt 2.74-3.06, 3 Os 2.77-2.95, 3 Y 2.89-3.01

=====

Entry 14:
YOs2Pt2: relaxed, PBE.

Theoretical density: 15.0 g/cm³
Symmetry: I4/mmm
Crystal system: tetragonal
E: -41.674 eV for the cell shown
Formation energy: -3.1 kcal/mol of atoms

Cell: 6.2149 6.2149 6.2149 Å, 140.80 140.80 56.64°
Last column: nearest neighbours and their distance in Å.
Fractional positions:
Y 0.0000 0.0000 0.0000  8 Os 3.16, 8 Pt 3.44
Os 0.3966 0.3966 0.0000  1 Os 2.26
Os 0.6034 0.6034 0.0000  1 Os 2.26
Pt 0.2500 0.7500 0.5000  4 Os 2.63
Pt 0.7500 0.2500 0.5000  4 Os 2.63

=====

Entry 15:
YOs2Pt: relaxed, PBE.

Energy above the lowest structure with this stoichiometry: 618 meV per atom
Theoretical density: 16.4 g/cm³
Symmetry: R-3m
Crystal system: trigonal
E: -32.884 eV for the cell shown
Formation energy: 12.0 kcal/mol of atoms

Cell: 9.8638 9.8638 9.8638 Å, 16.49 16.49 16.49°
Last column: nearest neighbours and their distance in Å.
Fractional positions:
Y 0.0000 0.0000 0.0000  6 Y 2.83, 6 Os 3.10
Os 0.2432 0.2432 0.2432  3 Pt 2.77, 6 Os 2.83, 3 Y 3.10
Os 0.7568 0.7568 0.7568  3 Pt 2.77, 6 Os 2.83, 3 Y 3.10
Pt 0.5000 0.5000 0.5000  6 Os 2.77, 6 Pt 2.83